# 1
Tl2SbPbO8 after structural relaxation. Source: Alexandria, functional PBE-GGA.

a = 5.0746 Å, b = 5.0728 Å, c = 6.7764 Å
α = 90.00°, β = 90.00°, γ = 92.14°
With the nearest neighbours (Å) after each atom.
Element x y z (fractional)
O: 0.6955 0.6986 0.5000  1 Pb 2.13, 2 Tl 2.21
O: 0.8203 0.1818 0.7731  1 Sb 2.03
Pb: 0.0000 0.0000 0.5000  6 O 2.13-2.27
O: 0.1797 0.8182 0.2269  1 Sb 2.03
O: 0.3045 0.3014 0.5000  1 Pb 2.13, 2 Tl 2.21
Tl: 0.5000 0.5000 0.2465  6 O 2.21-2.34
Sb: 0.0000 0.0000 0.0000  6 O 2.02-2.03
O: 0.1797 0.8182 0.7731  1 Sb 2.03
O: 0.8203 0.1818 0.2269  1 Sb 2.03
O: 0.7113 0.7136 0.0000  1 Sb 2.02, 2 Tl 2.24
Tl: 0.5000 0.5000 0.7535  6 O 2.21-2.34
O: 0.2887 0.2864 0.0000  1 Sb 2.02, 2 Tl 2.24

Values from the calculation:
E_form (uncorrected) ... -75 kJ per mole of atoms
Total magnetization ... 1.1 μB/cell
Electronic total energy ... -5.132 eV per atom
SG ... P2/m (10)



# 2
NaHN2O after structural relaxation. Source: Alexandria, functional PBE-GGA.

a = 5.0886 Å, b = 5.0886 Å, c = 4.4058 Å
α = 90.00°, β = 90.00°, γ = 90.00°
With the nearest neighbours (Å) after each atom.
Element x y z (fractional)
H: 0.5000 0.5000 0.5000  8 N 3.37, 4 O 3.60
N: 0.0000 0.5000 0.0000  2 Na 2.54
N: 0.5000 0.0000 0.0000  2 Na 2.54
Na: 0.0000 0.0000 0.0000  2 O 2.20
O: 0.0000 0.0000 0.5000  2 Na 2.20

Values from the calculation:
Total magnetization ... 6.0 μB/cell
Electronic total energy ... -2.859 eV per atom
SG ... P4/mmm (123)



# 3
KIn4W after structural relaxation. Source: Alexandria, functional PBE-GGA.

a = 5.8980 Å, b = 5.8980 Å, c = 5.8980 Å
α = 60.00°, β = 60.00°, γ = 60.00°
With the nearest neighbours (Å) after each atom.
Element x y z (fractional)
In: 0.3745 0.3745 0.8764  6 In 2.94-2.96
W: 0.0000 0.0000 0.0000  12 In 3.46, 4 K 3.61
In: 0.3745 0.8764 0.3745  6 In 2.94-2.96
K: 0.7500 0.7500 0.7500  12 In 3.46, 4 W 3.61
In: 0.3745 0.3745 0.3745  6 In 2.94-2.96
In: 0.8764 0.3745 0.3745  6 In 2.94-2.96

Values from the calculation:
Total magnetization ... 1.0 μB/cell
Formation enthalpy at 0 K ... 763 meV per atom
Electronic total energy ... -3.405 eV per atom
SG ... F-43m (216)



# 4
NdInTc2O8 after structural relaxation. Source: Alexandria, functional PBE-GGA.

a = 5.2305 Å, b = 5.2305 Å, c = 6.7753 Å
α = 112.71°, β = 112.71°, γ = 90.00°
With the nearest neighbours (Å) after each atom.
Element x y z (fractional)
O: 0.3254 0.9133 0.3237  1 Tc 1.86
Tc: 0.2500 0.7500 0.5000  4 O 1.86
O: 0.4064 0.3329 0.1649  1 Tc 1.85
Nd: 0.7500 0.2500 0.5000  8 O 2.41-2.49
In: 0.0000 0.0000 0.0000  8 O 2.34-2.41
O: 0.9983 0.4104 0.3237  1 Tc 1.86
O: 0.5896 0.6746 0.6763  1 Tc 1.86
O: 0.0867 0.0017 0.6763  1 Tc 1.86
O: 0.6671 0.2415 0.8351  1 Tc 1.85
Tc: 0.5000 0.5000 0.0000  4 O 1.85
O: 0.7585 0.8320 0.1649  1 Tc 1.85
O: 0.1680 0.5936 0.8351  1 Tc 1.85

Values from the calculation:
E_form (uncorrected) ... -167 kJ per mole of atoms
Total magnetization ... 3.1 μB/cell
Electronic total energy ... -7.390 eV per atom
SG ... I-4 (82)



> The highest electronic total energy belongs to which entry?

NaHN2O



> electronic total energy of number 2 (NaHN2O)?

-2.859 eV per atom



Please write out number 2 again, unchanged.
NaHN2O after structural relaxation. Source: Alexandria, functional PBE-GGA.

a = 5.0886 Å, b = 5.0886 Å, c = 4.4058 Å
α = 90.00°, β = 90.00°, γ = 90.00°
With the nearest neighbours (Å) after each atom.
Element x y z (fractional)
H: 0.5000 0.5000 0.5000  8 N 3.37, 4 O 3.60
N: 0.0000 0.5000 0.0000  2 Na 2.54
N: 0.5000 0.0000 0.0000  2 Na 2.54
Na: 0.0000 0.0000 0.0000  2 O 2.20
O: 0.0000 0.0000 0.5000  2 Na 2.20

Values from the calculation:
Total magnetization ... 6.0 μB/cell
Electronic total energy ... -2.859 eV per atom
SG ... P4/mmm (123)